Computed, not measured: an optimized crystal structure of Pu6PdRu3 at the PBE level of DFT.

```
Pu6PdRu3
1.0
4.072 2.351 3.750
-4.072 2.351 3.750
0.000 -4.702 3.750
Pu Pd Ru
6 1 3
direct
0.000 0.352 0.648
0.160 0.840 0.500
0.352 0.648 0.000
0.500 0.160 0.840
0.648 0.000 0.352
0.840 0.500 0.160
0.000 0.000 0.000
0.250 0.250 0.250
0.500 0.500 0.500
0.750 0.750 0.750
```

Size of the total moment (μB/f.u.): 31.16
E_form (meV per atom): -137



Computed, not measured: an optimized crystal structure of Pu6PdRu5 at the PBE level of DFT.

```
Pu6PdRu5
1.0
2.561 -5.849 0.000
2.561 5.849 0.000
0.000 0.000 7.879
Pu Pd Ru
6 1 5
direct
0.000 0.000 0.214
0.000 0.000 0.786
0.324 0.676 0.277
0.324 0.676 0.723
0.676 0.324 0.277
0.676 0.324 0.723
0.500 0.500 0.000
0.131 0.869 0.500
0.184 0.816 0.000
0.500 0.500 0.500
0.816 0.184 0.000
0.869 0.131 0.500
```

Energy above the most stable polymorph in this dataset (meV per atom): 49
Size of the total moment (μB/f.u.): 27.97
E_form (meV per atom): -128



Computed, not measured: an optimized crystal structure of Pu4PdRu2 at the PBE level of DFT.

```
Pu4PdRu2
1.0
-4.273 4.273 4.183
4.273 -4.273 4.183
4.273 4.273 -4.183
Pu Pd Ru
8 2 4
direct
0.109 0.505 0.743
0.116 0.011 0.757
0.255 0.359 0.243
0.495 0.239 0.604
0.634 0.891 0.396
0.641 0.884 0.896
0.761 0.366 0.257
0.989 0.745 0.104
0.250 0.750 0.500
0.500 0.500 0.000
0.021 0.125 0.396
0.375 0.979 0.104
0.729 0.625 0.604
0.875 0.271 0.896
```

Energy above the most stable polymorph in this dataset (meV per atom): 0
Size of the total moment (μB/f.u.): 20.18
E_form (meV per atom): -168